Entry 1:
First-principles (PBE) data for an optimized crystal structure of Ho2Al3Zn4Ga, as listed in Alexandria via LeMat-Bulk.

Computed properties:
DOS(E_F)   1.8 states/eV/f.u.
Space-group type   P-4m2
VASP energy   -3.21 eV per atom
E_form   -345.0 kJ/mol of formula units

a b c (Å): 4.1383 4.1383 10.7599
angles (deg): 90.00 90.00 90.00
Last column: nearest neighbours and their distance in Å.
Positions (direct):
1 Ho 0.0000 0.5000 0.2483  8 Zn 3.16-3.38, 6 Al 3.17-3.41, 2 Ga 3.41
2 Ho 0.5000 0.0000 0.7517  8 Zn 3.16-3.38, 6 Al 3.17-3.41, 2 Ga 3.41
3 Al 0.0000 0.5000 0.8642  5 Zn 2.40-2.53
4 Al 0.5000 0.0000 0.1358  5 Zn 2.40-2.53
5 Al 0.5000 0.5000 0.5000  4 Zn 2.56
6 Zn 0.0000 0.0000 0.0000  4 Al 2.53
7 Zn 0.0000 0.5000 0.6408  3 Al 2.40-2.56, 2 Ga 2.56
8 Zn 0.5000 0.0000 0.3592  3 Al 2.40-2.56, 2 Ga 2.56
9 Zn 0.5000 0.5000 0.0000  4 Al 2.53
10 Ga 0.0000 0.0000 0.5000  4 Zn 2.56

---

Entry 2:
First-principles (PBE) data for an optimized crystal structure of HfInTcPt, as listed in Alexandria via LeMat-Bulk.

Computed properties:
DOS(E_F)   0.6 states/eV/f.u.
Space-group type   F-43m
VASP energy   -7.77 eV per atom
E_form   -190.8 kJ/mol of formula units

a b c (Å): 6.5411 6.5411 6.5411
angles (deg): 90.00 90.00 90.00
Last column: nearest neighbours and their distance in Å.
Positions (direct):
1 Hf 0.0000 0.0000 0.0000  4 Tc 2.83, 4 Pt 2.83
2 Hf 0.0000 0.5000 0.5000  4 Tc 2.83, 4 Pt 2.83
3 Hf 0.5000 0.0000 0.5000  4 Tc 2.83, 4 Pt 2.83
4 Hf 0.5000 0.5000 0.0000  4 Tc 2.83, 4 Pt 2.83
5 In 0.0000 0.0000 0.5000  4 Pt 2.83, 4 Tc 2.83
6 In 0.0000 0.5000 0.0000  4 Pt 2.83, 4 Tc 2.83
7 In 0.5000 0.0000 0.0000  4 Pt 2.83, 4 Tc 2.83
8 In 0.5000 0.5000 0.5000  4 Pt 2.83, 4 Tc 2.83
9 Tc 0.2500 0.2500 0.7500  4 In 2.83, 4 Hf 2.83
10 Tc 0.2500 0.7500 0.2500  4 In 2.83, 4 Hf 2.83
11 Tc 0.7500 0.2500 0.2500  4 In 2.83, 4 Hf 2.83
12 Tc 0.7500 0.7500 0.7500  4 In 2.83, 4 Hf 2.83
13 Pt 0.2500 0.2500 0.2500  4 Hf 2.83, 4 In 2.83
14 Pt 0.2500 0.7500 0.7500  4 Hf 2.83, 4 In 2.83
15 Pt 0.7500 0.2500 0.7500  4 Hf 2.83, 4 In 2.83
16 Pt 0.7500 0.7500 0.2500  4 Hf 2.83, 4 In 2.83

---

What is the VASP energy in the second record? -7.77 eV per atom

---

What is the VASP energy in the first record? -3.21 eV per atom

---

Which value of E_form does entry 1 give? -345.0 kJ/mol of formula units

---

Which value of DOS(E_F) does entry 2 give? 0.6 states/eV/f.u.